VASP calculation (PBE) on crystalline CaTc3Ge3 at its relaxed geometry.

Cell lengths 6.8164, 6.8164, 6.8164 Å; angles 90.00, 90.00, 90.00 degrees
Closest atoms and distances in Å follow each position.
Fractional coordinates of all 14 atoms:
Tc (0.5000, 0.7500, 0.0000)  4 Ge 2.41
Tc (0.7500, 0.0000, 0.5000)  4 Ge 2.41
Tc (0.0000, 0.5000, 0.7500)  4 Ge 2.41
Tc (0.0000, 0.5000, 0.2500)  4 Ge 2.41
Tc (0.5000, 0.2500, 0.0000)  4 Ge 2.41
Tc (0.2500, 0.0000, 0.5000)  4 Ge 2.41
Ge (0.2500, 0.5000, 0.0000)  4 Tc 2.41
Ge (0.0000, 0.7500, 0.5000)  4 Tc 2.41
Ge (0.5000, 0.0000, 0.7500)  4 Tc 2.41
Ge (0.0000, 0.2500, 0.5000)  4 Tc 2.41
Ge (0.7500, 0.5000, 0.0000)  4 Tc 2.41
Ge (0.5000, 0.0000, 0.2500)  4 Tc 2.41
Ca (0.0000, 0.0000, 0.0000)  12 Ge 3.81, 12 Tc 3.81
Ca (0.5000, 0.5000, 0.5000)  12 Ge 3.81, 12 Tc 3.81

Calculated values
Energy, eV per atom: -6.35
D(E_F), states/eV/f.u.: 1.7


VASP calculation (PBE) on crystalline CaTcGe2 at its relaxed geometry.

Cell lengths 3.4090, 3.4090, 8.1066 Å; angles 77.86, 77.86, 60.00 degrees
Closest atoms and distances in Å follow each position.
Fractional coordinates of all 4 atoms:
Ge (0.2632, 0.2632, 0.2103)  3 Tc 2.57
Ge (0.7368, 0.7368, 0.7897)  3 Tc 2.57
Ca (0.5000, 0.5000, 0.5000)  6 Ge 3.01
Tc (0.0000, 0.0000, 0.0000)  6 Ge 2.57

Calculated values
Energy, eV per atom: -5.54
D(E_F), states/eV/f.u.: 1.8


VASP calculation (PBE) on crystalline CaTcGe2 at its relaxed geometry.

Cell lengths 3.2271, 3.2271, 7.0212 Å; angles 90.00, 90.00, 90.00 degrees
Closest atoms and distances in Å follow each position.
Fractional coordinates of all 4 atoms:
Ge (0.0000, 0.0000, 0.8042)  4 Tc 2.66, 1 Ge 2.75
Ge (0.0000, 0.0000, 0.1958)  4 Tc 2.66, 1 Ge 2.75
Ca (0.5000, 0.5000, 0.5000)  8 Ge 3.13, 4 Ca 3.23
Tc (0.5000, 0.5000, 0.0000)  8 Ge 2.66

Calculated values
Energy, eV per atom: -5.72
D(E_F), states/eV/f.u.: 1.7


VASP calculation (PBE) on crystalline CaTcGe2 at its relaxed geometry.

Cell lengths 4.6246, 4.6246, 4.6246 Å; angles 60.00, 60.00, 60.00 degrees
Closest atoms and distances in Å follow each position.
Fractional coordinates of all 4 atoms:
Ge (0.7500, 0.7500, 0.7500)  4 Tc 2.83, 4 Ca 2.83
Ge (0.2500, 0.2500, 0.2500)  4 Tc 2.83, 4 Ca 2.83
Ca (0.0000, 0.0000, 0.0000)  8 Ge 2.83
Tc (0.5000, 0.5000, 0.5000)  8 Ge 2.83

Calculated values
Energy, eV per atom: -5.46
D(E_F), states/eV/f.u.: 2.9


VASP calculation (PBE) on crystalline CaGeTe2 at its relaxed geometry.

Cell lengths 10.4681, 10.4681, 10.4681 Å; angles 21.10, 21.10, 21.10 degrees
Closest atoms and distances in Å follow each position.
Fractional coordinates of all 4 atoms:
Ca (0.5000, 0.5000, 0.5000)  6 Te 3.12
Te (0.9048, 0.9048, 0.9048)  1 Ge 2.92, 3 Ca 3.12
Te (0.0952, 0.0952, 0.0952)  1 Ge 2.92, 3 Ca 3.12
Ge (0.0000, 0.0000, 0.0000)  2 Te 2.92

Calculated values
D(E_F), states/eV/f.u.: 2.8
E_form (uncorrected), kJ per mole of atoms: -19.72


VASP calculation (PBE) on crystalline Ca2Ge2Te at its relaxed geometry.

Cell lengths 7.8607, 7.8607, 4.2163 Å; angles 90.00, 90.00, 90.00 degrees
Closest atoms and distances in Å follow each position.
Fractional coordinates of all 10 atoms:
Te (0.5000, 0.5000, 0.0000)  4 Ge 3.17
Te (0.0000, 0.0000, 0.0000)  4 Ge 3.17
Ge (0.8875, 0.6125, 0.0000)  1 Ge 2.50
Ge (0.1125, 0.3875, 0.0000)  1 Ge 2.50
Ge (0.6125, 0.1125, 0.0000)  1 Ge 2.50
Ge (0.3875, 0.8875, 0.0000)  1 Ge 2.50
Ca (0.3186, 0.1814, 0.5000)  6 Ge 3.11-3.17
Ca (0.1814, 0.6814, 0.5000)  6 Ge 3.11-3.17
Ca (0.8186, 0.3186, 0.5000)  6 Ge 3.11-3.17
Ca (0.6814, 0.8186, 0.5000)  6 Ge 3.11-3.17

Calculated values
D(E_F), states/eV/f.u.: 2.6
E_form (uncorrected), kJ per mole of atoms: -59.77


VASP calculation (PBE) on crystalline CaGeTe2 at its relaxed geometry.

Cell lengths 4.3880, 4.3879, 7.6875 Å; angles 73.41, 73.41, 59.99 degrees
Closest atoms and distances in Å follow each position.
Fractional coordinates of all 4 atoms:
Ge (0.0000, 0.0000, 0.0000)  6 Te 3.05
Ca (0.5000, 0.5000, 0.5000)  6 Te 3.19
Te (0.7445, 0.7445, 0.7663)  3 Ge 3.05, 3 Ca 3.19
Te (0.2555, 0.2555, 0.2337)  3 Ge 3.05, 3 Ca 3.19

Calculated values
D(E_F), states/eV/f.u.: 0.0
E_form (uncorrected), kJ per mole of atoms: -77.46


VASP calculation (PBE) on crystalline Ca2GeTe3 at its relaxed geometry.

Cell lengths 4.4427, 6.2627, 7.7256 Å; angles 113.91, 106.71, 90.00 degrees
Closest atoms and distances in Å follow each position.
Fractional coordinates of all 6 atoms:
Ge (0.0000, 0.5000, 0.0000)  6 Te 3.07-3.13
Te (0.3420, 0.3420, 0.6841)  2 Ge 3.07, 4 Ca 3.13-3.23
Te (0.0000, 0.0000, 0.0000)  2 Ge 3.13, 4 Ca 3.16
Te (0.6580, 0.6580, 0.3159)  2 Ge 3.07, 4 Ca 3.13-3.23
Ca (0.3323, 0.8323, 0.6647)  6 Te 3.13-3.23
Ca (0.6677, 0.1677, 0.3353)  6 Te 3.13-3.23

Calculated values
D(E_F), states/eV/f.u.: 0.0
E_form (uncorrected), kJ per mole of atoms: -104.65


VASP calculation (PBE) on crystalline Ca2Ge2Te at its relaxed geometry.

Cell lengths 5.4544, 5.4544, 6.3311 Å; angles 64.48, 64.48, 90.00 degrees
Closest atoms and distances in Å follow each position.
Fractional coordinates of all 5 atoms:
Ca (0.7500, 0.2500, 0.5000)  4 Ge 3.05
Ca (0.2500, 0.7500, 0.5000)  4 Ge 3.05
Ge (0.6135, 0.6135, 0.7730)  1 Ge 2.28
Ge (0.3865, 0.3865, 0.2270)  1 Ge 2.28
Te (0.0000, 0.0000, 0.0000)  8 Ca 3.71, 10 Ge 3.88-4.02

Calculated values
D(E_F), states/eV/f.u.: 4.6
E_form (uncorrected), kJ per mole of atoms: -25.93


VASP calculation (PBE) on crystalline CaGeTe2 at its relaxed geometry.

Cell lengths 4.5168, 6.2761, 7.6638 Å; angles 66.21, 55.89, 44.07 degrees
Closest atoms and distances in Å follow each position.
Fractional coordinates of all 4 atoms:
Ge (0.3339, 0.6223, 0.1551)  3 Te 2.83-2.89
Ca (0.9520, 0.1206, 0.6096)  6 Te 3.13-3.20
Te (0.9576, 0.6207, 0.6001)  1 Ge 2.83, 4 Ca 3.13-3.15
Te (0.4610, 0.1210, 0.1137)  2 Ge 2.88-2.89, 2 Ca 3.15-3.20

Calculated values
E_form (uncorrected), kJ per mole of atoms: -81.51


VASP calculation (PBE) on crystalline Ca2Ge2Te at its relaxed geometry.

Cell lengths 8.3546, 8.3546, 4.2814 Å; angles 90.00, 90.00, 90.00 degrees
Closest atoms and distances in Å follow each position.
Fractional coordinates of all 10 atoms:
Ca (0.1919, 0.3081, 0.0000)  2 Te 3.03, 6 Ge 3.28-3.33
Ca (0.8081, 0.6919, 0.0000)  2 Te 3.03, 6 Ge 3.28-3.33
Ca (0.6919, 0.1919, 0.0000)  2 Te 3.03, 6 Ge 3.28-3.33
Ca (0.3081, 0.8081, 0.0000)  2 Te 3.03, 6 Ge 3.28-3.33
Te (0.5000, 0.5000, 0.0000)  4 Ca 3.03
Te (0.0000, 0.0000, 0.0000)  4 Ca 3.03
Ge (0.4021, 0.0979, 0.5000)  1 Ge 2.31
Ge (0.9021, 0.4021, 0.5000)  1 Ge 2.31
Ge (0.0979, 0.5979, 0.5000)  1 Ge 2.31
Ge (0.5979, 0.9021, 0.5000)  1 Ge 2.31

Calculated values
D(E_F), states/eV/f.u.: 1.6
E_form (uncorrected), kJ per mole of atoms: -56.46


VASP calculation (PBE) on crystalline CaGeTe2 at its relaxed geometry.

Cell lengths 9.4770, 9.4770, 9.4770 Å; angles 25.79, 25.79, 25.79 degrees
Closest atoms and distances in Å follow each position.
Fractional coordinates of all 4 atoms:
Ca (0.0000, 0.0000, 0.0000)  2 Te 2.95
Ge (0.5000, 0.5000, 0.5000)  6 Te 2.94
Te (0.1074, 0.1074, 0.1074)  3 Ge 2.94, 1 Ca 2.95
Te (0.8926, 0.8926, 0.8926)  3 Ge 2.94, 1 Ca 2.95

Calculated values
D(E_F), states/eV/f.u.: 0.9
E_form (uncorrected), kJ per mole of atoms: -17.35